First-principles (GGA-PBEsol) data for a geometry-optimized Ca2ZrAs structure, as listed in the Alexandria database.

Cell lengths 4.6437, 4.6766, 9.3343 Å; angles 90.00, 90.00, 90.00 degrees
With the nearest neighbours (Å) after each atom.
Space group Cmmm (No. 65)
One atom of each set of equivalent atoms:
Ca 0.0000 0.0000 0.2067 [4 per cell]  4 As 3.02-3.03, 4 Ca 3.30
Zr 0.0000 0.5000 0.5000 [2 per cell]  4 Zr 3.30, 8 Ca 3.59-3.60
As 0.0000 0.5000 0.0000 [2 per cell]  8 Ca 3.02-3.03, 4 As 3.30


First-principles (GGA-PBEsol) data for a geometry-optimized CaZr2As structure, as listed in the Alexandria database.

Cell lengths 6.0997, 10.5516, 3.1271 Å; angles 90.00, 120.04, 90.00 degrees
With the nearest neighbours (Å) after each atom.
Space group C2/m (No. 12)
One atom of each set of equivalent atoms:
Ca 0.0000 0.0000 0.0000 [2 per cell]  4 As 3.05-3.09, 4 Zr 3.06, 2 Ca 3.13
Zr 0.2500 0.2500 0.5000 [4 per cell]  6 Zr 3.05-3.13, 2 As 3.06, 2 Ca 3.06
As 0.0000 0.5000 0.0000 [2 per cell]  4 Ca 3.05-3.09, 4 Zr 3.06, 2 As 3.13


First-principles (GGA-PBEsol) data for a geometry-optimized Cd2As structure, as listed in the Alexandria database.

Cell lengths 3.1683, 3.1683, 25.5483 Å; angles 90.00, 90.00, 90.00 degrees
With the nearest neighbours (Å) after each atom.
Space group I4_1/amd (No. 141, origin choice 2)
One atom of each set of equivalent atoms:
Cd 0.0000 0.2500 0.2971 [8 per cell]  6 Cd 2.88-3.17, 4 As 3.00
As 0.0000 0.2500 0.8750 [4 per cell]  8 Cd 3.00, 4 As 3.17


First-principles (GGA-PBEsol) data for a geometry-optimized Cd2As structure, as listed in the Alexandria database.

Cell lengths 3.1136, 3.1136, 12.6799 Å; angles 90.00, 90.00, 90.00 degrees
With the nearest neighbours (Å) after each atom.
Space group I4/mmm (No. 139)
One atom of each set of equivalent atoms:
Cd 0.0000 0.0000 0.1650 [4 per cell]  4 As 3.04, 8 Cd 3.08-3.11
As 0.0000 0.0000 0.5000 [2 per cell]  8 Cd 3.04, 4 As 3.11


First-principles (GGA-PBEsol) data for a geometry-optimized CdAs2 structure, as listed in the Alexandria database.

Cell lengths 4.4511, 7.0262, 4.4321 Å; angles 90.00, 90.00, 90.00 degrees
With the nearest neighbours (Å) after each atom.
Space group Pnnm (No. 58)
One atom of each set of equivalent atoms:
Cd 0.0000 0.0000 0.0000 [2 per cell]  6 As 2.71-2.86
As 0.1991 0.3866 0.0000 [4 per cell]  1 As 2.38


First-principles (GGA-PBEsol) data for a geometry-optimized Cd3As5 structure, as listed in the Alexandria database.

Cell lengths 7.9514, 8.0626, 5.0849 Å; angles 90.00, 90.00, 90.00 degrees
With the nearest neighbours (Å) after each atom.
Space group Cmmm (No. 65)
One atom of each set of equivalent atoms:
Cd 0.0000 0.0000 0.0000 [2 per cell]  4 As 2.83, 4 Cd 2.94
Cd 0.0000 0.1824 0.5000 [4 per cell]  4 As 2.86-3.08, 3 Cd 2.94
As 0.0000 0.5000 0.0000 [2 per cell]  8 As 2.83-2.84
As 0.1592 0.5000 0.5000 [4 per cell]  1 As 2.53
As 0.2500 0.2500 0.0000 [4 per cell]  2 Cd 2.83, 2 As 2.83


First-principles (GGA-PBEsol) data for a geometry-optimized Cd3As structure, as listed in the Alexandria database.

Cell lengths 9.5092, 9.5092, 3.2253 Å; angles 90.00, 90.00, 120.00 degrees
With the nearest neighbours (Å) after each atom.
Space group R-3m (No. 166, hexagonal axes)
One atom of each set of equivalent atoms:
Cd 0.0000 0.5000 0.0000 [9 per cell]  6 Cd 2.95-3.23, 2 As 2.95
As 0.0000 0.0000 0.0000 [3 per cell]  6 Cd 2.95, 2 As 3.23


First-principles (GGA-PBEsol) data for a geometry-optimized Cd2As structure, as listed in the Alexandria database.

Cell lengths 5.8818, 5.8818, 7.6211 Å; angles 90.00, 90.00, 90.00 degrees
With the nearest neighbours (Å) after each atom.
Space group I4/mcm (No. 140)
One atom of each set of equivalent atoms:
Cd 0.1824 0.3176 0.0000 [8 per cell]  4 As 2.88, 5 Cd 3.03-3.05
As 0.0000 0.0000 0.2500 [4 per cell]  8 Cd 2.88


no.,total energy (eV for the cell shown),calculated formation energy (eV/atom)
1,-38.5,-0.196
2,-51.6,-0.090
3,-28.2,0.153
4,-14.0,0.159
5,-21.9,0.154
6,-54.2,0.250
7,-23.9,0.179
8,-29.1,0.078